[1]
# TaB3H | the Alexandria database | PBE | relaxed
# * E: -4.852 eV per atom
# * relative energy among the computed polymorphs: 1.453 eV/atom
data_TaB3H
_space_group_name_H-M_alt 'P 1'
_space_group_IT_number 1
_cell_length_a 4.356
_cell_length_b 4.356
_cell_length_c 4.356
_cell_angle_alpha 90.00
_cell_angle_beta 90.00
_cell_angle_gamma 90.00
loop_
_space_group_symop_operation_xyz
'x,y,z'
loop_
_atom_site_label
_atom_site_fract_x
_atom_site_fract_y
_atom_site_fract_z
B1 0.000 0.500 0.000
B2 0.500 0.000 0.000
B3 0.000 0.000 0.500
H1 0.500 0.500 0.500
Ta1 0.000 0.000 0.000

[2]
# IrPtAu2 | the Alexandria database | PBE | relaxed
# * E: -5.042 eV per atom
# * formation energy: 0.322 eV/atom
# * relative energy among the computed polymorphs: 0.156 eV/atom
data_IrPtAu2
_space_group_name_H-M_alt 'P 1'
_space_group_IT_number 1
_cell_length_a 4.894
_cell_length_b 4.894
_cell_length_c 4.894
_cell_angle_alpha 130.58
_cell_angle_beta 130.58
_cell_angle_gamma 72.47
loop_
_space_group_symop_operation_xyz
'x,y,z'
loop_
_atom_site_label
_atom_site_fract_x
_atom_site_fract_y
_atom_site_fract_z
Pt1 0.750 0.250 0.500
Ir1 0.500 0.500 0.000
Au1 0.250 0.750 0.500
Au2 0.000 0.000 0.000

[3]
# Tb9YEr2 | the Alexandria database | PBE | relaxed
# * E: -4.752 eV per atom
# * formation energy: 0.020 eV/atom
data_Tb9YEr2
_space_group_name_H-M_alt 'P 1'
_space_group_IT_number 1
_cell_length_a 5.026
_cell_length_b 5.026
_cell_length_c 15.077
_cell_angle_alpha 90.00
_cell_angle_beta 90.00
_cell_angle_gamma 90.00
loop_
_space_group_symop_operation_xyz
'x,y,z'
loop_
_atom_site_label
_atom_site_fract_x
_atom_site_fract_y
_atom_site_fract_z
Tb1 0.000 0.500 0.832
Tb2 0.000 0.500 0.500
Tb3 0.500 0.000 0.500
Tb4 0.500 0.500 0.000
Tb5 0.500 0.500 0.666
Tb6 0.500 0.000 0.832
Tb7 0.500 0.500 0.334
Tb8 0.500 0.000 0.168
Tb9 0.000 0.500 0.168
Y1 0.000 0.000 0.000
Er1 0.000 0.000 0.334
Er2 0.000 0.000 0.666